1.
# Er3InTc

Crystalline Er3InTc at its relaxed geometry (GGA-PBE, Alexandria via LeMat-Bulk).

Cell lengths 5.016, 6.173, 8.914 Å; angles 101.68, 90.00, 113.97 degrees
Sites, in units of the cell vectors:
Er 0.931 0.863 0.659
Er 0.069 0.137 0.341
Er 0.577 0.155 0.866
Er 0.423 0.845 0.134
Er 0.745 0.490 0.220
Er 0.255 0.510 0.780
In 0.363 0.727 0.455
In 0.637 0.273 0.545
Tc 0.110 0.221 0.032
Tc 0.890 0.779 0.968

Properties
- Fermi-level density of states: 5.90 states/eV/cell
- DFT formation energy: -0.253 eV per atom

2.
# Er5In2Tc

Crystalline Er5In2Tc at its relaxed geometry (GGA-PBE, Alexandria via LeMat-Bulk).

Cell lengths 4.972, 6.567, 12.557 Å; angles 90.00, 90.00, 90.00 degrees
Sites, in units of the cell vectors:
Er 0.500 0.333 0.097
Er 0.500 0.667 0.903
Er 0.500 0.833 0.403
Er 0.500 0.167 0.597
Er 0.000 0.892 0.717
Er 0.000 0.108 0.283
Er 0.000 0.392 0.783
Er 0.000 0.608 0.217
Er 0.000 0.500 0.500
Er 0.000 0.000 0.000
In 0.500 0.362 0.352
In 0.500 0.638 0.648
In 0.500 0.138 0.852
In 0.500 0.862 0.148
Tc 0.000 0.000 0.500
Tc 0.000 0.500 0.000

Properties
- Fermi-level density of states: 11.16 states/eV/cell
- DFT formation energy: -0.288 eV per atom

Copy entry 1 word for word.
# Er3InTc

Crystalline Er3InTc at its relaxed geometry (GGA-PBE, Alexandria via LeMat-Bulk).

Cell lengths 5.016, 6.173, 8.914 Å; angles 101.68, 90.00, 113.97 degrees
Sites, in units of the cell vectors:
Er 0.931 0.863 0.659
Er 0.069 0.137 0.341
Er 0.577 0.155 0.866
Er 0.423 0.845 0.134
Er 0.745 0.490 0.220
Er 0.255 0.510 0.780
In 0.363 0.727 0.455
In 0.637 0.273 0.545
Tc 0.110 0.221 0.032
Tc 0.890 0.779 0.968

Properties
- Fermi-level density of states: 5.90 states/eV/cell
- DFT formation energy: -0.253 eV per atom